First-principles (GGA+U) data for Cs2HoWO6 after structural relaxation, as listed in Alexandria via LeMat-Bulk.

Values from the calculation:
Total DFT energy (no corrections) in eV/f.u.: -64.17
Total magnetization in μB/f.u.: 1.05
Crystal system: trigonal

Cell lengths 6.8335, 6.8335, 5.8676 Å; angles 90.00, 90.00, 120.00 degrees
Space group P-3m1 (No. 164)
Asymmetric unit:
Cs  0.3333  0.6667  0.3699
Ho  0.0000  0.0000  0.0000
W  0.0000  0.0000  0.5000
O  0.1290  0.2580  0.7093